Below is a relaxed structure of MgCo2As, with properties calculated at the PBE level.

Calculated values
D(E_F)   0.930 states/eV/atom
Calculated formation energy   164 meV/atom

```
data_MgCo2As
_symmetry_space_group_name_H-M 'C 1 2/m 1'
_symmetry_Int_Tables_number 12
_symmetry_space_group_name_Hall '-C 2y'
_cell_length_a 5.4888
_cell_length_b 7.9991
_cell_length_c 2.7796
_cell_angle_alpha 90.00
_cell_angle_beta 117.55
_cell_angle_gamma 90.00
loop_
_atom_site_label
_atom_site_fract_x
_atom_site_fract_y
_atom_site_fract_z
Mg1 0.0000 0.0000 0.0000
Co1 0.2500 0.2500 0.5000
As1 0.0000 0.5000 0.0000
```

Below is a relaxed structure of Er5Co4Cu, with properties calculated at the PBE level.

Calculated values
D(E_F)   0.493 states/eV/atom
Calculated formation energy   -216 meV/atom

```
data_Er5Co4Cu
_symmetry_space_group_name_H-M 'P 4/m m m'
_symmetry_Int_Tables_number 123
_symmetry_space_group_name_Hall '-P 4 2'
_cell_length_a 3.3208
_cell_length_b 3.3208
_cell_length_c 16.8129
_cell_angle_alpha 90.00
_cell_angle_beta 90.00
_cell_angle_gamma 90.00
loop_
_atom_site_label
_atom_site_fract_x
_atom_site_fract_y
_atom_site_fract_z
Er1 0.0000 0.0000 0.0000
Er2 0.0000 0.0000 0.1953
Er3 0.0000 0.0000 0.3913
Co1 0.5000 0.5000 0.0981
Co2 0.5000 0.5000 0.2960
Cu1 0.5000 0.5000 0.5000
```